No. 1
## La2SmDy2Er (PBE-GGA)

Data for a relaxed La2SmDy2Er crystal.

The structure in CIF format:
```
data_La2SmDy2Er
_cell_length_a 5.722
_cell_length_b 7.107
_cell_length_c 9.890
_cell_angle_alpha 90.00
_cell_angle_beta 90.00
_cell_angle_gamma 90.00
_space_group_name_H-M_alt 'P 1'
_space_group_IT_number 1
_space_group_name_Hall 'P 1'
loop_
_atom_site_label
_atom_site_fract_x
_atom_site_fract_y
_atom_site_fract_z
_atom_site_occupancy
La1 0.500 0.008 0.000 1
La2 0.000 0.258 0.179 1
La3 0.500 0.508 0.000 1
La4 0.000 0.758 0.821 1
Sm1 0.500 0.257 0.658 1
Sm2 0.500 0.757 0.342 1
Dy1 0.000 0.258 0.834 1
Dy2 0.500 0.257 0.334 1
Dy3 0.000 0.758 0.166 1
Dy4 0.500 0.757 0.666 1
Er1 0.000 0.007 0.500 1
Er2 0.000 0.507 0.500 1
```

Results
VASP energy (Ha/atom): -0.1712
Formation energy from the elements (eV per atom): 0.064
DOS(E_F) (states/eV/cell): 19.823

No. 2
## Mg2TaCr (PBE-GGA)

Data for a relaxed Mg2TaCr crystal.

The structure in CIF format:
```
data_Mg2TaCr
_cell_length_a 7.467
_cell_length_b 7.467
_cell_length_c 5.882
_cell_angle_alpha 50.61
_cell_angle_beta 50.61
_cell_angle_gamma 90.00
_space_group_name_H-M_alt 'P 1'
_space_group_IT_number 1
_space_group_name_Hall 'P 1'
loop_
_atom_site_label
_atom_site_fract_x
_atom_site_fract_y
_atom_site_fract_z
_atom_site_occupancy
Cr1 0.500 0.500 0.000 1
Cr2 0.250 0.750 0.500 1
Mg1 0.597 0.125 0.250 1
Mg2 0.153 0.625 0.250 1
Mg3 0.375 0.403 0.750 1
Mg4 0.875 0.847 0.750 1
Ta1 0.000 0.000 0.000 1
Ta2 0.750 0.250 0.500 1
```

Results
VASP energy (Ha/atom): -0.1886
Energy relative to the lowest polymorph listed for this composition (meV/atom): 761
Formation energy from the elements (eV per atom): 1.034
DOS(E_F) (states/eV/cell): 9.973

No. 3
## Pu3InPd4 (PBE-GGA)

Data for a relaxed Pu3InPd4 crystal.

The structure in CIF format:
```
data_Pu3InPd4
_cell_length_a 6.473
_cell_length_b 6.473
_cell_length_c 6.473
_cell_angle_alpha 81.79
_cell_angle_beta 125.34
_cell_angle_gamma 124.36
_space_group_name_H-M_alt 'P 1'
_space_group_IT_number 1
_space_group_name_Hall 'P 1'
loop_
_atom_site_label
_atom_site_fract_x
_atom_site_fract_y
_atom_site_fract_z
_atom_site_occupancy
Pu1 0.614 0.290 0.905 1
Pu2 0.835 0.000 0.835 1
Pu3 0.614 0.710 0.324 1
In1 0.182 0.500 0.682 1
Pd1 0.124 0.774 0.898 1
Pd2 0.124 0.226 0.350 1
Pd3 0.551 0.222 0.329 1
Pd4 0.107 0.778 0.329 1
```

Results
VASP energy (Ha/atom): -0.3170
Formation energy from the elements (eV per atom): -0.312
DOS(E_F) (states/eV/cell): 32.277

No. 4
## PrSm6Sc3 (PBE-GGA)

Data for a relaxed PrSm6Sc3 crystal.

The structure in CIF format:
```
data_PrSm6Sc3
_cell_length_a 9.756
_cell_length_b 9.756
_cell_length_c 6.820
_cell_angle_alpha 44.34
_cell_angle_beta 44.34
_cell_angle_gamma 60.00
_space_group_name_H-M_alt 'P 1'
_space_group_IT_number 1
_space_group_name_Hall 'P 1'
loop_
_atom_site_label
_atom_site_fract_x
_atom_site_fract_y
_atom_site_fract_z
_atom_site_occupancy
Pr1 0.900 0.900 0.300 1
Sm1 0.900 0.561 0.300 1
Sm2 0.239 0.900 0.300 1
Sm3 0.561 0.239 0.300 1
Sm4 0.067 0.400 0.800 1
Sm5 0.733 0.067 0.800 1
Sm6 0.400 0.733 0.800 1
Sc1 0.400 0.400 0.799 1
Sc2 0.639 0.639 0.082 1
Sc3 0.161 0.161 0.517 1
```

Results
VASP energy (Ha/atom): -0.1848
Energy relative to the lowest polymorph listed for this composition (meV/atom): 15
Formation energy from the elements (eV per atom): 0.179
DOS(E_F) (states/eV/cell): 17.790

No. 5
## Ce2YTmS4 (PBE-GGA)

Data for a relaxed Ce2YTmS4 crystal.

The structure in CIF format:
```
data_Ce2YTmS4
_cell_length_a 3.922
_cell_length_b 6.805
_cell_length_c 6.931
_cell_angle_alpha 109.08
_cell_angle_beta 90.00
_cell_angle_gamma 90.00
_space_group_name_H-M_alt 'P 1'
_space_group_IT_number 1
_space_group_name_Hall 'P 1'
loop_
_atom_site_label
_atom_site_fract_x
_atom_site_fract_y
_atom_site_fract_z
_atom_site_occupancy
Ce1 0.500 0.000 0.500 1
Ce2 0.000 0.500 0.500 1
Y1 0.500 0.500 0.000 1
Tm1 0.000 0.000 0.000 1
S1 0.500 0.241 0.234 1
S2 0.500 0.759 0.766 1
S3 0.000 0.251 0.763 1
S4 0.000 0.749 0.237 1
```

Results
VASP energy (Ha/atom): -0.2547
E_form (uncorrected) (meV/atom): -2017
DOS(E_F) (states/eV/cell): 10.712

No. 6
## SrAuCl2 (PBE-GGA)

Data for a relaxed SrAuCl2 crystal.

The structure in CIF format:
```
data_SrAuCl2
_cell_length_a 5.216
_cell_length_b 5.216
_cell_length_c 5.216
_cell_angle_alpha 60.00
_cell_angle_beta 60.00
_cell_angle_gamma 60.00
_space_group_name_H-M_alt 'P 1'
_space_group_IT_number 1
_space_group_name_Hall 'P 1'
loop_
_atom_site_label
_atom_site_fract_x
_atom_site_fract_y
_atom_site_fract_z
_atom_site_occupancy
Sr1 0.750 0.750 0.750 1
Au1 0.500 0.500 0.500 1
Cl1 0.000 0.000 0.000 1
Cl2 0.250 0.250 0.250 1
```

Results
VASP energy (Ha/atom): -0.1159
E_form (uncorrected) (meV/atom): -991
Energy relative to the lowest polymorph listed for this composition (meV/atom): 244
DOS(E_F) (states/eV/cell): 3.312